# 1
Ac5LaPm2Er after structural relaxation, computed with GGA-PBE.

The structure in POSCAR format:
```
Ac5LaPm2Er
1.0
6.002 0.000 0.000
-3.001 10.886 0.000
0.000 0.000 11.272
Ac La Pm Er
10 2 4 2
direct
0.373 0.745 0.018
0.724 0.448 0.822
0.487 0.973 0.746
0.298 0.595 0.703
0.988 0.977 0.513
0.627 0.255 0.518
0.276 0.552 0.322
0.513 0.027 0.246
0.702 0.405 0.203
0.012 0.023 0.013
0.593 0.186 0.964
0.407 0.814 0.464
0.886 0.772 0.801
0.117 0.233 0.743
0.114 0.228 0.301
0.883 0.767 0.243
0.809 0.619 0.514
0.191 0.381 0.014
```

Output
For the formation energy, the calculation gives 1.35 eV/f.u. Its total DFT energy (no corrections) is -4.242 eV/atom.



# 2
LiAcAl2 after structural relaxation, computed with GGA-PBE.

The structure in POSCAR format:
```
LiAcAl2
1.0
-4.268 -1.193 -0.780
-1.131 -4.353 -0.131
-2.868 -1.742 5.377
Ac Al Li
1 2 1
direct
0.000 0.000 0.000
0.799 0.799 0.602
0.201 0.201 0.398
0.500 0.500 0.500
```

Output
For the formation energy, the calculation gives -0.92 eV/f.u. Its relative energy among the computed polymorphs is 0.212 eV/f.u. Its total DFT energy (no corrections) is -3.606 eV/atom.



# 3
CePuScHg after structural relaxation, computed with GGA-PBE.

The structure in POSCAR format:
```
CePuScHg
1.0
-2.114 3.887 -2.656
0.725 0.336 -5.098
-3.920 -0.913 -3.230
Sc Hg Ce Pu
1 1 1 1
direct
0.000 0.000 0.000
0.250 0.250 0.250
0.750 0.750 0.750
0.500 0.500 0.500
```

Output
For the formation energy, the calculation gives -0.17 eV/f.u. Its total DFT energy (no corrections) is -6.768 eV/atom.



# 4
LiErHg after structural relaxation, computed with GGA-PBE.

The structure in POSCAR format:
```
LiErHg
1.0
3.773 0.000 0.000
0.000 3.773 0.000
-1.886 -1.886 4.739
Li Hg Er
1 1 1
direct
0.297 0.297 0.595
0.939 0.939 0.879
0.613 0.613 0.226
```

Output
For the formation energy, the calculation gives -0.78 eV/f.u. Its relative energy among the computed polymorphs is 0.281 eV/f.u. Its total DFT energy (no corrections) is -2.519 eV/atom.



# 5
TlGa2Ru2 after structural relaxation, computed with GGA-PBE.

The structure in POSCAR format:
```
TlGa2Ru2
1.0
-6.865 0.855 -2.594
1.078 -5.598 -4.699
-1.038 -1.962 2.099
Ru Tl Ga
4 2 4
direct
0.160 0.660 0.500
0.660 0.840 0.500
0.840 0.340 0.500
0.340 0.160 0.500
0.000 0.000 0.000
0.500 0.500 0.000
0.368 0.868 0.000
0.868 0.632 0.000
0.632 0.132 0.000
0.132 0.368 0.000
```

Output
For the formation energy, the calculation gives 0.54 eV/f.u. Its relative energy among the computed polymorphs is 0.790 eV/f.u. Its total DFT energy (no corrections) is -5.286 eV/atom.



# 6
Ce3NdIn4 after structural relaxation, computed with GGA-PBE.

The structure in POSCAR format:
```
Ce3NdIn4
1.0
-1.737 0.679 3.318
-1.693 -5.239 0.186
9.204 -2.783 5.389
Nd Ce In
1 3 4
direct
0.500 0.500 0.000
0.500 0.000 0.251
0.500 0.500 0.500
0.500 0.000 0.749
0.000 0.000 0.500
0.000 0.500 0.751
0.000 0.000 0.000
0.000 0.500 0.249
```

Output
For the formation energy, the calculation gives -2.82 eV/f.u. Its total DFT energy (no corrections) is -4.543 eV/atom.



# 7
Hf3AlTl after structural relaxation, computed with GGA-PBE.

The structure in POSCAR format:
```
Hf3AlTl
1.0
4.976 0.000 0.000
0.000 4.976 0.000
0.000 0.000 4.976
Tl Hf Al
1 3 1
direct
0.500 0.500 0.500
0.000 0.500 0.000
0.000 0.000 0.500
0.500 0.000 0.000
0.000 0.000 0.000
```

Output
For the formation energy, the calculation gives 2.98 eV/f.u. Its relative energy among the computed polymorphs is 0.000 eV/f.u. Its total DFT energy (no corrections) is -6.597 eV/atom.



# 8
Tl2ReRu after structural relaxation, computed with GGA-PBE.

The structure in POSCAR format:
```
Tl2ReRu
1.0
-4.546 0.822 4.483
-6.096 0.461 2.017
-1.623 -4.155 1.628
Re Ru Tl
1 1 2
direct
0.456 0.456 0.544
0.778 0.778 0.722
0.031 0.031 0.969
0.235 0.235 0.265
```

Output
For the formation energy, the calculation gives 3.28 eV/f.u. Its relative energy among the computed polymorphs is 1.538 eV/f.u. Its total DFT energy (no corrections) is -5.794 eV/atom.